A plane-wave DFT calculation with GGA-PBE was carried out for a relaxed structure of GaFeS2Cl.

Structure (POSCAR):
```
GaFeS2Cl
1.0
-4.397 -1.297 -0.780
1.504 -4.020 -1.789
-0.173 -1.918 4.167
S Ga Fe Cl
2 1 1 1
direct
0.000 0.500 0.000
0.500 0.000 0.000
0.000 0.000 0.000
0.500 0.500 0.500
0.000 0.000 0.500
```

Properties
relative energy among the computed polymorphs	0.483	eV per atom
E_form (uncorrected)	0.4076	eV/atom
DOS(E_F)	1.044	states/eV per atom
density	3.77	g/cm³